PBE LiCu5Pd4, optimized geometry; M_tot = 0.00 μB/f.u.; DOS(E_F) = 0.535 states/eV/atom; symmetry = No. 123; formation energy from the elements = -119 kJ/mol of formula units
1.0
3.035 0.000 0.000
0.000 3.035 0.000
0.000 0.000 14.646
Li Cu Pd
1 5 4
Direct
0.000 0.000 0.000
0.500 0.500 0.093
0.500 0.500 0.296
0.500 0.500 0.500
0.500 0.500 0.704
0.500 0.500 0.907
0.000 0.000 0.192
0.000 0.000 0.398
0.000 0.000 0.602
0.000 0.000 0.808



PBE KZr2Ir, optimized geometry; M_tot = 2.02 μB/f.u.; DOS(E_F) = 1.131 states/eV/atom; symmetry = No. 216; formation energy from the elements = 300 kJ/mol of formula units
1.0
7.058 0.000 0.000
0.000 7.058 0.000
0.000 0.000 7.058
K Zr Ir
4 8 4
Direct
0.000 0.000 0.000
0.000 0.500 0.500
0.500 0.000 0.500
0.500 0.500 0.000
0.000 0.000 0.500
0.000 0.500 0.000
0.250 0.250 0.250
0.250 0.750 0.750
0.500 0.000 0.000
0.500 0.500 0.500
0.750 0.250 0.750
0.750 0.750 0.250
0.250 0.250 0.750
0.250 0.750 0.250
0.750 0.250 0.250
0.750 0.750 0.750



PBE DyPuCdOs, optimized geometry; M_tot = 5.28 μB/f.u.; DOS(E_F) = 2.586 states/eV/atom; symmetry = No. 216; formation energy from the elements = -1 kJ/mol of formula units
1.0
7.100 0.000 0.000
0.000 7.100 0.000
0.000 0.000 7.100
Dy Pu Cd Os
4 4 4 4
Direct
0.000 0.000 0.000
0.000 0.500 0.500
0.500 0.000 0.500
0.500 0.500 0.000
0.000 0.000 0.500
0.000 0.500 0.000
0.500 0.000 0.000
0.500 0.500 0.500
0.250 0.250 0.750
0.250 0.750 0.250
0.750 0.250 0.250
0.750 0.750 0.750
0.250 0.250 0.250
0.250 0.750 0.750
0.750 0.250 0.750
0.750 0.750 0.250



PBE LiErAu6, optimized geometry; M_tot = 0.00 μB/f.u.; DOS(E_F) = 0.202 states/eV/atom; symmetry = No. 166; formation energy from the elements = -213 kJ/mol of formula units
1.0
3.883 2.242 3.326
-3.883 2.242 3.326
0.000 -4.483 3.326
Li Er Au
1 1 6
Direct
0.000 0.000 0.000
0.500 0.500 0.500
0.029 0.670 0.670
0.330 0.330 0.971
0.330 0.971 0.330
0.670 0.029 0.670
0.670 0.670 0.029
0.971 0.330 0.330



PBE CePr4Nd5, optimized geometry; M_tot = 0.86 μB/f.u.; DOS(E_F) = 1.919 states/eV/atom; symmetry = No. 12; formation energy from the elements = 225 kJ/mol of formula units
1.0
7.665 -2.962 0.000
7.665 2.962 0.000
-6.128 0.000 7.953
Ce Pr Nd
1 4 5
Direct
0.000 0.000 0.000
0.249 0.249 0.182
0.294 0.294 0.626
0.706 0.706 0.374
0.751 0.751 0.818
0.060 0.060 0.721
0.403 0.403 0.050
0.500 0.500 0.500
0.597 0.597 0.950
0.940 0.940 0.279



PBE Li3MnFe, optimized geometry; M_tot = 2.30 μB/f.u.; DOS(E_F) = 1.545 states/eV/atom; symmetry = No. 221; formation energy from the elements = 697 kJ/mol of formula units
1.0
4.431 0.000 0.000
0.000 4.431 0.000
0.000 0.000 4.431
Li Mn Fe
3 1 1
Direct
0.000 0.000 0.500
0.000 0.500 0.000
0.500 0.000 0.000
0.500 0.500 0.500
0.000 0.000 0.000